Record 1
ScBeFe after structural relaxation. Source: OQMD, functional PBE-GGA.

abc: 4.0014 4.0014 4.0014
angles: 60.00 60.00 60.00
Positions (direct):
Be 0.2500 0.2500 0.2500
Fe 0.0000 0.0000 0.0000
Sc 0.7500 0.7500 0.7500

Calculated values
Relative energy among the computed polymorphs: 0 meV per atom
Total moment: 0.8 μB per cell

Record 2
Nd2CdIBrO2 after structural relaxation. Source: OQMD, functional PBE-GGA.

abc: 7.0742 7.0742 10.1205
angles: 128.46 128.46 31.78
Positions (direct):
Br 0.4338 0.4338 0.2859
Cd 0.9722 0.9722 0.9940
I 0.5858 0.5858 0.7508
Nd 0.8291 0.8291 0.4362
Nd 0.1765 0.1765 0.5516
O 0.2216 0.2216 0.3701
O 0.7810 0.7810 0.6114

Calculated values
Total moment: 0.0 μB per cell
Total DFT energy (no corrections): -0.1990 hartree per atom

Record 3
Tb2TmTl3CuNi2 after structural relaxation. Source: OQMD, functional PBE-GGA.

abc: 3.7912 7.5706 7.5706
angles: 119.92 90.00 90.00
Positions (direct):
Cu 0.0000 0.9988 0.9988
Ni 0.5000 0.6653 0.3356
Ni 0.5000 0.3356 0.6653
Tb 0.0000 0.4105 0.0005
Tb 0.0000 0.0005 0.4105
Tl 0.5000 0.2665 0.2665
Tl 0.5000 0.9983 0.7349
Tl 0.5000 0.7349 0.9983
Tm 0.0000 0.5897 0.5897

Calculated values
Total moment: 0.0 μB per cell
Total DFT energy (no corrections): -0.1578 hartree per atom

Record 4
NaLuU after structural relaxation. Source: OQMD, functional PBE-GGA.

abc: 5.1111 5.1111 5.1111
angles: 60.00 60.00 60.00
Positions (direct):
Lu 0.2500 0.2500 0.2500
Na 0.0000 0.0000 0.0000
U 0.7500 0.7500 0.7500

Calculated values
Relative energy among the computed polymorphs: 0 meV per atom
Total moment: 4.9 μB per cell

Record 5
HoNiPt after structural relaxation. Source: OQMD, functional PBE-GGA.

abc: 4.3347 4.3347 4.3347
angles: 60.00 60.00 60.00
Positions (direct):
Ho 0.2500 0.2500 0.2500
Ni 0.0000 0.0000 0.0000
Pt 0.7500 0.7500 0.7500

Calculated values
Formation energy: -0.62 eV/atom
Total moment: 0.0 μB per cell

Record 6
GdPaSi after structural relaxation. Source: OQMD, functional PBE-GGA.

abc: 4.8091 4.8091 4.8091
angles: 60.00 60.00 60.00
Positions (direct):
Gd 0.2500 0.2500 0.2500
Pa 0.7500 0.7500 0.7500
Si 0.0000 0.0000 0.0000

Calculated values
Relative energy among the computed polymorphs: 0 meV per atom
Total moment: 1.0 μB per cell

Record 7
Sr3Pd2Pt7 after structural relaxation. Source: OQMD, functional PBE-GGA.

abc: 9.5625 9.5625 9.5625
angles: 33.40 33.40 33.40
Positions (direct):
Pd 0.3319 0.3319 0.3319
Pd 0.6681 0.6681 0.6681
Pt 0.5846 0.5846 0.0822
Pt 0.9178 0.4154 0.4154
Pt 0.4154 0.9178 0.4154
Pt 0.5000 0.5000 0.5000
Pt 0.5846 0.0822 0.5846
Pt 0.0822 0.5846 0.5846
Pt 0.4154 0.4154 0.9178
Sr 0.0000 0.0000 0.0000
Sr 0.1411 0.1411 0.1411
Sr 0.8589 0.8589 0.8589

Calculated values
Total moment: 0.0 μB per cell
Total DFT energy (no corrections): -0.2033 hartree per atom

Record 8
LuNiAgBi after structural relaxation. Source: OQMD, functional PBE-GGA.

abc: 4.8634 4.8634 4.8634
angles: 60.00 60.00 60.00
Positions (direct):
Ag 0.5000 0.5000 0.5000
Bi 0.0000 0.0000 0.0000
Lu 0.2500 0.2500 0.2500
Ni 0.7500 0.7500 0.7500

Calculated values
Total moment: 0.0 μB per cell
Total DFT energy (no corrections): -0.1590 hartree per atom

Record 9
ErTmSi2W2C after structural relaxation. Source: OQMD, functional PBE-GGA.

abc: 5.8485 5.8485 7.0616
angles: 123.09 123.09 37.96
Positions (direct):
C 0.0000 0.0000 0.0003
Er 0.4255 0.4255 0.7048
Si 0.8690 0.8690 0.3408
Si 0.1309 0.1309 0.6590
Tm 0.5743 0.5743 0.2950
W 0.2074 0.2074 0.0854
W 0.7926 0.7926 0.9147

Calculated values
Total moment: 0.0 μB per cell
Total DFT energy (no corrections): -0.3088 hartree per atom

Record 10
BaNaDyS3 after structural relaxation. Source: OQMD, functional PBE-GGA.

abc: 7.2252 7.2252 10.4498
angles: 90.00 90.00 145.78
Positions (direct):
Ba 0.2438 0.7562 0.2500
Ba 0.7562 0.2438 0.7500
Dy 0.5000 0.5000 0.0000
Dy 0.5000 0.5000 0.5000
Na 0.9730 0.0270 0.2500
Na 0.0270 0.9730 0.7500
S 0.8692 0.1308 0.0453
S 0.5758 0.4242 0.2500
S 0.8692 0.1308 0.4547
S 0.1308 0.8692 0.5453
S 0.4242 0.5758 0.7500
S 0.1308 0.8692 0.9547

Calculated values
Total moment: 0.0 μB per cell
Total DFT energy (no corrections): -0.1886 hartree per atom

Record 11
TlSbAu after structural relaxation. Source: OQMD, functional PBE-GGA.

abc: 4.6206 4.6206 9.5031
angles: 90.00 90.00 120.00
Positions (direct):
Au 0.0000 0.0000 0.3100
Au 0.0000 0.0000 0.8100
Sb 0.3333 0.6667 0.3791
Sb 0.6667 0.3333 0.8791
Tl 0.3333 0.6667 0.0608
Tl 0.6667 0.3333 0.5608

Calculated values
Relative energy among the computed polymorphs: 178 meV per atom

Record 12
CsHfCuSe2S after structural relaxation. Source: OQMD, functional PBE-GGA.

abc: 8.2642 8.2642 9.9490
angles: 90.00 90.00 152.87
Positions (direct):
Cs 0.7607 0.2393 0.2500
Cs 0.2393 0.7607 0.7500
Cu 0.0305 0.9695 0.2500
Cu 0.9695 0.0305 0.7500
Hf 0.5000 0.5000 0.0000
Hf 0.5000 0.5000 0.5000
S 0.4494 0.5506 0.2500
S 0.5506 0.4494 0.7500
Se 0.1140 0.8860 0.0468
Se 0.1140 0.8860 0.4532
Se 0.8860 0.1140 0.5468
Se 0.8860 0.1140 0.9532

Calculated values
Total moment: 0.0 μB per cell
Total DFT energy (no corrections): -0.2003 hartree per atom

- Number 10 is which compound?
  BaNaDyS3

- Which formula does entry 11 have?
  TlSbAu